A relaxed TiNi2HPt crystal, computed with GGA-PBE.

Summary:
- N(E_F): 3.69 states/eV per cell
- Total magnetic moment: 0.0 μB/cell
- Offset from the most stable computed form: 0.000 eV per atom
- Final energy: -31.16 eV/cell

Cell: 3.726 3.726 3.929 Å, 90.00 90.00 90.00°
Positions (direct):
Ti (0.000, 0.000, 0.000)
Ni (0.000, 0.500, 0.500)
Ni (0.500, 0.000, 0.500)
H (0.000, 0.000, 0.500)
Pt (0.500, 0.500, 0.000)